Model one:
VASP calculation (PBE-GGA) on a relaxed ErTm3Al2 crystal.

```
data_ErTm3Al2
_symmetry_space_group_name_H-M 'P 1'
_symmetry_Int_Tables_number 1
_symmetry_space_group_name_Hall 'P 1'
_cell_length_a 5.0312
_cell_length_b 9.3307
_cell_length_c 6.4811
_cell_angle_alpha 90.00
_cell_angle_beta 90.00
_cell_angle_gamma 90.00
loop_
_atom_site_label
_atom_site_type_symbol
_atom_site_fract_x
_atom_site_fract_y
_atom_site_fract_z
Er1 Er 0.0000 0.0398 0.0000
Er2 Er 0.0000 0.9602 0.5000
Tm1 Tm 0.0000 0.3220 0.6555
Tm2 Tm 0.0000 0.6780 0.1555
Tm3 Tm 0.5000 0.1794 0.2864
Tm4 Tm 0.5000 0.4597 0.9420
Tm5 Tm 0.5000 0.5403 0.4420
Tm6 Tm 0.5000 0.8206 0.7864
Al1 Al 0.0000 0.3540 0.1779
Al2 Al 0.0000 0.6460 0.6779
Al3 Al 0.5000 0.1461 0.7635
Al4 Al 0.5000 0.8539 0.2635
```

## Properties
Space group = Pmc2_1 (26)
DOS(E_F) = 4.57 states/eV/f.u.

=====

Model two:
VASP calculation (PBE-GGA) on a relaxed ErTm3Al2 crystal.

```
data_ErTm3Al2
_symmetry_space_group_name_H-M 'P 1'
_symmetry_Int_Tables_number 1
_symmetry_space_group_name_Hall 'P 1'
_cell_length_a 7.6527
_cell_length_b 7.6527
_cell_length_c 4.3649
_cell_angle_alpha 90.00
_cell_angle_beta 90.00
_cell_angle_gamma 143.95
loop_
_atom_site_label
_atom_site_type_symbol
_atom_site_fract_x
_atom_site_fract_y
_atom_site_fract_z
Er1 Er 0.0000 0.0000 0.0000
Tm1 Tm 0.1735 0.8265 0.5000
Tm2 Tm 0.5000 0.5000 0.5000
Tm3 Tm 0.8265 0.1735 0.5000
Al1 Al 0.3419 0.6581 0.0000
Al2 Al 0.6581 0.3419 0.0000
```

## Properties
Space group = Cmmm (65)
DOS(E_F) = 5.34 states/eV/f.u.

=====

The structure with the most favorable energy is model one; the runner-up is 9.7 kJ/mol of atoms above it.

=====

Model one:
VASP calculation (PBE-GGA) on a relaxed Er3TmAl8 crystal.

```
data_Er3TmAl8
_symmetry_space_group_name_H-M 'P 1'
_symmetry_Int_Tables_number 1
_symmetry_space_group_name_Hall 'P 1'
_cell_length_a 5.5179
_cell_length_b 5.5179
_cell_length_c 9.0400
_cell_angle_alpha 90.00
_cell_angle_beta 90.00
_cell_angle_gamma 120.00
loop_
_atom_site_label
_atom_site_type_symbol
_atom_site_fract_x
_atom_site_fract_y
_atom_site_fract_z
Er1 Er 0.0000 0.0000 0.0000
Er2 Er 0.0000 0.0000 0.3652
Er3 Er 0.3333 0.6667 0.8649
Tm1 Tm 0.3333 0.6667 0.4997
Al1 Al 0.0093 0.5046 0.1826
Al2 Al 0.3240 0.1620 0.6821
Al3 Al 0.4954 0.5046 0.1826
Al4 Al 0.4954 0.9907 0.1826
Al5 Al 0.6667 0.3333 0.4326
Al6 Al 0.6667 0.3333 0.9322
Al7 Al 0.8380 0.1620 0.6821
Al8 Al 0.8380 0.6760 0.6821
```

## Properties
Space group = P3m1 (156)
DOS(E_F) = 5.91 states/eV/f.u.

=====

Model two:
VASP calculation (PBE-GGA) on a relaxed Er3TmAl8 crystal.

```
data_Er3TmAl8
_symmetry_space_group_name_H-M 'P 1'
_symmetry_Int_Tables_number 1
_symmetry_space_group_name_Hall 'P 1'
_cell_length_a 9.5947
_cell_length_b 9.5947
_cell_length_c 9.5947
_cell_angle_alpha 33.41
_cell_angle_beta 33.41
_cell_angle_gamma 33.41
loop_
_atom_site_label
_atom_site_type_symbol
_atom_site_fract_x
_atom_site_fract_y
_atom_site_fract_z
Er1 Er 0.0000 0.0000 0.0000
Er2 Er 0.1247 0.1247 0.1247
Er3 Er 0.6245 0.6245 0.6245
Tm1 Tm 0.5001 0.5001 0.5001
Al1 Al 0.0622 0.0622 0.5622
Al2 Al 0.0622 0.5622 0.0622
Al3 Al 0.0625 0.5623 0.5623
Al4 Al 0.3123 0.3123 0.3123
Al5 Al 0.5622 0.0622 0.0622
Al6 Al 0.5623 0.0625 0.5623
Al7 Al 0.5623 0.5623 0.0625
Al8 Al 0.8123 0.8123 0.8123
```

## Properties
Space group = R3m (160)
DOS(E_F) = 9.90 states/eV/f.u.

=====

The structure with the most favorable energy is model two; the runner-up is 0.9 kJ/mol of atoms above it.

=====

Model one:
VASP calculation (PBE-GGA) on a relaxed ErTm4Al2 crystal.

```
data_ErTm4Al2
_symmetry_space_group_name_H-M 'P 1'
_symmetry_Int_Tables_number 1
_symmetry_space_group_name_Hall 'P 1'
_cell_length_a 7.4285
_cell_length_b 7.4285
_cell_length_c 7.4285
_cell_angle_alpha 135.98
_cell_angle_beta 135.98
_cell_angle_gamma 64.00
loop_
_atom_site_label
_atom_site_type_symbol
_atom_site_fract_x
_atom_site_fract_y
_atom_site_fract_z
Er1 Er 0.0000 0.0000 0.0000
Tm1 Tm 0.0000 0.5000 0.5000
Tm2 Tm 0.2500 0.7500 0.5000
Tm3 Tm 0.5000 0.0000 0.5000
Tm4 Tm 0.7500 0.2500 0.5000
Al1 Al 0.3840 0.3840 0.0000
Al2 Al 0.6160 0.6160 0.0000
```

## Properties
Space group = I4/mmm (139)
DOS(E_F) = 7.97 states/eV/f.u.

=====

Model two:
VASP calculation (PBE-GGA) on a relaxed ErTm4Al2 crystal.

```
data_ErTm4Al2
_symmetry_space_group_name_H-M 'P 1'
_symmetry_Int_Tables_number 1
_symmetry_space_group_name_Hall 'P 1'
_cell_length_a 6.0148
_cell_length_b 10.2490
_cell_length_c 6.6630
_cell_angle_alpha 90.00
_cell_angle_beta 112.35
_cell_angle_gamma 90.00
loop_
_atom_site_label
_atom_site_type_symbol
_atom_site_fract_x
_atom_site_fract_y
_atom_site_fract_z
Er1 Er 0.0000 0.0000 0.0000
Er2 Er 0.0000 0.5000 0.5000
Tm1 Tm 0.0055 0.1619 0.4993
Tm2 Tm 0.0055 0.3381 0.9993
Tm3 Tm 0.4943 0.7123 0.4985
Tm4 Tm 0.4943 0.7877 0.9985
Tm5 Tm 0.5057 0.2123 0.0015
Tm6 Tm 0.5057 0.2877 0.5015
Tm7 Tm 0.9945 0.6619 0.0007
Tm8 Tm 0.9945 0.8381 0.5007
Al1 Al 0.4737 0.5011 0.1831
Al2 Al 0.4737 0.9989 0.6831
Al3 Al 0.5263 0.0011 0.3169
Al4 Al 0.5263 0.4989 0.8169
```

## Properties
Space group = P2_1/c (14)
DOS(E_F) = 7.55 states/eV/f.u.

=====

The structure with the most favorable energy is model two; the runner-up is 37.6 kJ/mol of atoms above it.